(1)
A geometry-optimized Cd structure, computed with PBE-GGA.

Unit cell a=7.3122 b=7.3122 c=3.1119 alpha=90.00 beta=90.00 gamma=120.00
Last column: nearest neighbours and their distance in Å.
Fractional coordinates of all 6 atoms:
Cd: 0.0000 0.2409 0.5000  10 Cd 2.95-3.11
Cd: 0.7591 0.7591 0.5000  10 Cd 2.95-3.11
Cd: 0.0000 0.5835 0.0000  8 Cd 2.95-3.11
Cd: 0.5835 0.0000 0.0000  8 Cd 2.95-3.11
Cd: 0.2409 0.0000 0.5000  10 Cd 2.95-3.11
Cd: 0.4165 0.4165 0.0000  8 Cd 2.95-3.11

Space group: P-62m (189)
Relative energy among the computed polymorphs: 26 meV/atom
Energy of formation: 26.0 meV per atom
Total magnetic moment: 0.00 μB/f.u.

---

(2)
A geometry-optimized Cd structure, computed with PBE-GGA.

Unit cell a=5.3024 b=3.0926 c=3.0514 alpha=90.00 beta=90.00 gamma=90.00
Last column: nearest neighbours and their distance in Å.
Fractional coordinates of all 2 atoms:
Cd: 0.5000 0.0000 0.0000  8 Cd 3.05-3.09
Cd: 0.0000 0.5000 0.0000  8 Cd 3.05-3.09

Space group: Cmmm (65)
Relative energy among the computed polymorphs: 79 meV/atom
Energy of formation: 79.1 meV per atom
Total magnetic moment: 0.00 μB/f.u.

---

(3)
A geometry-optimized Cd structure, computed with PBE-GGA.

Unit cell a=3.1097 b=3.1097 c=3.1097 alpha=109.47 beta=109.47 gamma=109.47
Last column: nearest neighbours and their distance in Å.
Fractional coordinates of all 1 atoms:
Cd: 0.0000 0.0000 0.0000  8 Cd 3.11

Space group: Im-3m (229)
Relative energy among the computed polymorphs: 57 meV/atom
Energy of formation: 56.7 meV per atom
Total magnetic moment: 0.00 μB/f.u.

---

(4)
A geometry-optimized Cd structure, computed with PBE-GGA.

Unit cell a=2.9750 b=5.2271 c=5.2271 alpha=120.00 beta=90.00 gamma=90.00
Last column: nearest neighbours and their distance in Å.
Fractional coordinates of all 3 atoms:
Cd: 0.0000 0.0000 0.0000  2 Cd 2.97
Cd: 0.5000 0.3333 0.6667  5 Cd 2.97-3.02
Cd: 0.5000 0.6667 0.3333  5 Cd 2.97-3.02

Space group: P6/mmm (191)
Relative energy among the computed polymorphs: 64 meV/atom
Energy of formation: 64.4 meV per atom
Total magnetic moment: 0.00 μB/f.u.

---

(5)
A geometry-optimized Cd structure, computed with PBE-GGA.

Unit cell a=3.0333 b=3.0333 c=5.6565 alpha=90.00 beta=90.00 gamma=120.00
Last column: nearest neighbours and their distance in Å.
Fractional coordinates of all 2 atoms:
Cd: 0.3333 0.6667 0.2500  12 Cd 3.03-3.33
Cd: 0.6667 0.3333 0.7500  12 Cd 3.03-3.33

Space group: P6_3/mmc (194)
Relative energy among the computed polymorphs: 0 meV/atom
Energy of formation: 0.0 meV per atom
Total magnetic moment: 0.00 μB/f.u.

---

(6)
A geometry-optimized Cd structure, computed with PBE-GGA.

Unit cell a=5.0519 b=5.0519 c=2.9398 alpha=90.00 beta=90.00 gamma=120.00
Last column: nearest neighbours and their distance in Å.
Fractional coordinates of all 2 atoms:
Cd: 0.6667 0.3333 0.5000  5 Cd 2.92-2.94
Cd: 0.3333 0.6667 0.5000  5 Cd 2.92-2.94

Space group: P6/mmm (191)
Relative energy among the computed polymorphs: 231 meV/atom
Energy of formation: 230.6 meV per atom
Total magnetic moment: 0.00 μB/f.u.

---

(7)
A geometry-optimized Cd structure, computed with PBE-GGA.

Unit cell a=8.1621 b=8.1621 c=8.1621 alpha=90.00 beta=90.00 gamma=90.00
Last column: nearest neighbours and their distance in Å.
Fractional coordinates of all 12 atoms:
Cd: 0.7500 0.5000 0.0000  4 Cd 2.89
Cd: 0.5000 0.2500 0.0000  4 Cd 2.89
Cd: 0.5000 0.7500 0.0000  4 Cd 2.89
Cd: 0.0000 0.5000 0.7500  4 Cd 2.89
Cd: 0.0000 0.7500 0.5000  4 Cd 2.89
Cd: 0.2500 0.0000 0.5000  4 Cd 2.89
Cd: 0.5000 0.0000 0.2500  4 Cd 2.89
Cd: 0.0000 0.5000 0.2500  4 Cd 2.89
Cd: 0.2500 0.5000 0.0000  4 Cd 2.89
Cd: 0.7500 0.0000 0.5000  4 Cd 2.89
Cd: 0.0000 0.2500 0.5000  4 Cd 2.89
Cd: 0.5000 0.0000 0.7500  4 Cd 2.89

Space group: Im-3m (229)
Relative energy among the computed polymorphs: 380 meV/atom
Energy of formation: 379.9 meV per atom
Total magnetic moment: 0.00 μB/f.u.

---

(8)
A geometry-optimized Cd structure, computed with PBE-GGA.

Unit cell a=4.6993 b=4.6993 c=4.6993 alpha=60.00 beta=60.00 gamma=60.00
Last column: nearest neighbours and their distance in Å.
Fractional coordinates of all 2 atoms:
Cd: 0.0000 0.0000 0.0000  4 Cd 2.88
Cd: 0.7500 0.7500 0.7500  4 Cd 2.88

Space group: Fd-3m (227)
Relative energy among the computed polymorphs: 338 meV/atom
Energy of formation: 338.4 meV per atom
Total magnetic moment: 0.00 μB/f.u.

---

(9)
A geometry-optimized Cd structure, computed with PBE-GGA.

Unit cell a=5.0128 b=5.0128 c=5.5366 alpha=90.00 beta=90.00 gamma=120.00
Last column: nearest neighbours and their distance in Å.
Fractional coordinates of all 4 atoms:
Cd: 0.0000 0.0000 0.2500  5 Cd 2.77-2.89
Cd: 0.0000 0.0000 0.7500  5 Cd 2.77-2.89
Cd: 0.3333 0.6667 0.2500  3 Cd 2.89
Cd: 0.6667 0.3333 0.7500  3 Cd 2.89

Space group: P6_3/mmc (194)
Relative energy among the computed polymorphs: 241 meV/atom
Energy of formation: 241.3 meV per atom
Total magnetic moment: 0.00 μB/f.u.

---

(10)
A geometry-optimized Cd structure, computed with PBE-GGA.

Unit cell a=8.8991 b=8.8991 c=8.8991 alpha=90.00 beta=90.00 gamma=90.00
Last column: nearest neighbours and their distance in Å.
Fractional coordinates of all 16 atoms:
Cd: 0.6225 0.6225 0.3775  4 Cd 2.74-3.03
Cd: 0.8003 0.1997 0.8003  4 Cd 2.74-3.03
Cd: 0.3775 0.6225 0.6225  4 Cd 2.74-3.03
Cd: 0.8775 0.8775 0.8775  4 Cd 2.74-3.03
Cd: 0.6997 0.6997 0.6997  4 Cd 2.74-3.03
Cd: 0.3003 0.3003 0.6997  4 Cd 2.74-3.03
Cd: 0.6225 0.3775 0.6225  4 Cd 2.74-3.03
Cd: 0.1997 0.1997 0.1997  4 Cd 2.74-3.03
Cd: 0.3775 0.3775 0.3775  4 Cd 2.74-3.03
Cd: 0.6997 0.3003 0.3003  4 Cd 2.74-3.03
Cd: 0.1997 0.8003 0.8003  4 Cd 2.74-3.03
Cd: 0.1225 0.8775 0.1225  4 Cd 2.74-3.03
Cd: 0.8003 0.8003 0.1997  4 Cd 2.74-3.03
Cd: 0.3003 0.6997 0.3003  4 Cd 2.74-3.03
Cd: 0.8775 0.1225 0.1225  4 Cd 2.74-3.03
Cd: 0.1225 0.1225 0.8775  4 Cd 2.74-3.03

Space group: I-43m (217)
Relative energy among the computed polymorphs: 341 meV/atom
Energy of formation: 340.5 meV per atom
Total magnetic moment: 0.00 μB/f.u.

---

(11)
A geometry-optimized Cd structure, computed with PBE-GGA.

Unit cell a=3.1084 b=3.1084 c=5.5508 alpha=106.26 beta=106.26 gamma=90.00
Last column: nearest neighbours and their distance in Å.
Fractional coordinates of all 2 atoms:
Cd: 0.8602 0.8602 0.7203  9 Cd 2.85-3.14
Cd: 0.1398 0.1398 0.2797  9 Cd 2.85-3.14

Space group: I4/mmm (139)
Relative energy among the computed polymorphs: 65 meV/atom
Energy of formation: 65.3 meV per atom
Total magnetic moment: 0.00 μB/f.u.

---

(12)
A geometry-optimized Cd structure, computed with PBE-GGA.

Unit cell a=2.9830 b=2.9830 c=2.9830 alpha=90.00 beta=90.00 gamma=90.00
Last column: nearest neighbours and their distance in Å.
Fractional coordinates of all 1 atoms:
Cd: 0.0000 0.0000 0.0000  6 Cd 2.98

Space group: Pm-3m (221)
Relative energy among the computed polymorphs: 147 meV/atom
Energy of formation: 146.6 meV per atom
Total magnetic moment: 0.00 μB/f.u.

---

Please write out number 4 again, unchanged.
A geometry-optimized Cd structure, computed with PBE-GGA.

Unit cell a=2.9750 b=5.2271 c=5.2271 alpha=120.00 beta=90.00 gamma=90.00
Last column: nearest neighbours and their distance in Å.
Fractional coordinates of all 3 atoms:
Cd: 0.0000 0.0000 0.0000  2 Cd 2.97
Cd: 0.5000 0.3333 0.6667  5 Cd 2.97-3.02
Cd: 0.5000 0.6667 0.3333  5 Cd 2.97-3.02

Space group: P6/mmm (191)
Relative energy among the computed polymorphs: 64 meV/atom
Energy of formation: 64.4 meV per atom
Total magnetic moment: 0.00 μB/f.u.

---

Look up the total magnetic moment of the fifth one.
0.00 μB/f.u.

---

relative energy among the computed polymorphs of number 4 (Cd)?
64 meV/atom

---

Copy entry 1 word for word.
A geometry-optimized Cd structure, computed with PBE-GGA.

Unit cell a=7.3122 b=7.3122 c=3.1119 alpha=90.00 beta=90.00 gamma=120.00
Last column: nearest neighbours and their distance in Å.
Fractional coordinates of all 6 atoms:
Cd: 0.0000 0.2409 0.5000  10 Cd 2.95-3.11
Cd: 0.7591 0.7591 0.5000  10 Cd 2.95-3.11
Cd: 0.0000 0.5835 0.0000  8 Cd 2.95-3.11
Cd: 0.5835 0.0000 0.0000  8 Cd 2.95-3.11
Cd: 0.2409 0.0000 0.5000  10 Cd 2.95-3.11
Cd: 0.4165 0.4165 0.0000  8 Cd 2.95-3.11

Space group: P-62m (189)
Relative energy among the computed polymorphs: 26 meV/atom
Energy of formation: 26.0 meV per atom
Total magnetic moment: 0.00 μB/f.u.